Compound: HfNb2Au6
Source: Alexandria
Functional: GGA-PBE
Structure: relaxed

## Properties
- Uncorrected energy: -5.783 eV per atom
- Crystal system: trigonal
- Total magnetic moment: 0.00 μB per formula unit

Cell: 8.1588 8.1588 8.4401 Å, 90.00 90.00 120.00°
Space group R-3m (No. 166, hexagonal axes)
Unique sites:
Hf (0.0000, 0.0000, 0.0000) (multiplicity 3)
Nb (0.0000, 0.0000, 0.3473) (multiplicity 6)
Au (0.0000, 0.3339, 0.5000) (multiplicity 18)

***

Compound: HfNbAu2
Source: Alexandria
Functional: GGA-PBE
Structure: relaxed

## Properties
- Uncorrected energy: -6.916 eV per atom
- Crystal system: tetragonal
- Total magnetic moment: 0.00 μB per formula unit

Cell: 4.203 4.203 4.185 Å, 90.00 90.00 90.00°
Space group P4/mmm (No. 123)
Unique sites:
Hf (0.000, 0.000, 0.000) (multiplicity 1)
Nb (0.500, 0.500, 0.000) (multiplicity 1)
Au (0.000, 0.500, 0.500) (multiplicity 2)

***

Compound: HfNb2Au
Source: Alexandria
Functional: GGA-PBE
Structure: relaxed

## Properties
- Crystal system: tetragonal
- Polymorph energy (0 for the lowest one): 560 meV/atom
- Total magnetic moment: 0.00 μB per formula unit

Cell: 7.762 7.762 5.445 Å, 90.00 90.00 90.00°
Space group I-42d (No. 122)
Unique sites:
Hf (0.000, 0.000, 0.000) (multiplicity 4)
Nb (0.230, 0.750, 0.625) (multiplicity 8)
Au (0.000, 0.000, 0.500) (multiplicity 4)